1.
MgFeCo, PBEsol geometry, DFT SCAN; calculated formation energy = 276 meV per atom; mass density = 5.99 g cm⁻³; magnetic moment = 4.38 μB per formula unit; space-group type = P3m1 (156); crystal system = trigonal
1.0
2.665 0.000 0.000
-1.332 2.308 0.000
0.000 0.000 6.270
Mg Fe Co
1 1 1
Cartesian
0.000 0.000 0.000
1.332 0.769 2.269
0.000 1.539 4.098

2.
Mg2FeCo, PBEsol geometry, DFT SCAN; calculated formation energy = 180 meV per atom; mass density = 4.80 g cm⁻³; magnetic moment = 3.97 μB per formula unit; space-group type = P4/mmm (123); crystal system = tetragonal
1.0
2.690 0.000 0.000
0.000 2.690 0.000
0.000 0.000 7.811
Mg Fe Co
2 1 1
Cartesian
0.000 0.000 1.893
0.000 0.000 5.918
1.345 1.345 3.906
1.345 1.345 0.000

3.
MgFeCo, PBEsol geometry, DFT SCAN; calculated formation energy = 188 meV per atom; mass density = 5.94 g cm⁻³; magnetic moment = 4.39 μB per formula unit; space-group type = Fmm2 (42); crystal system = orthorhombic
1.0
0.000 2.096 6.075
1.527 0.000 6.075
1.527 2.096 0.000
Mg Fe Co
1 1 1
Cartesian
0.000 0.000 0.000
1.527 2.096 3.875
1.527 2.096 8.192

4.
Mg2FeCo, PBEsol geometry, DFT SCAN; calculated formation energy = 270 meV per atom; mass density = 4.76 g cm⁻³; magnetic moment = 3.80 μB per formula unit; space-group type = R-3m (166); crystal system = trigonal
1.0
1.374 0.794 8.718
-1.374 0.794 8.718
0.000 -1.587 8.718
Mg Fe Co
2 1 1
Cartesian
0.000 0.000 6.495
0.000 0.000 19.658
0.000 0.000 0.000
0.000 0.000 13.076

5.
Mg30FeCoO32, PBEsol geometry, DFT SCAN; formation energy from raw total energies = -2.8906 eV per atom; mass density = 3.75 g cm⁻³; magnetic moment = 7.00 μB per formula unit; space-group type = P4/mmm (123); crystal system = tetragonal
1.0
8.439 0.000 0.000
0.000 8.439 0.000
0.000 0.000 8.442
Mg Fe Co O
30 1 1 32
Cartesian
0.000 0.000 0.000
0.000 2.099 2.120
0.000 2.099 6.322
0.000 4.219 0.000
0.000 4.219 4.221
0.000 6.340 2.120
0.000 6.340 6.322
2.094 2.094 4.221
2.094 6.345 4.221
2.099 0.000 2.120
2.099 0.000 6.322
2.104 4.219 2.109
2.104 4.219 6.333
2.106 2.106 0.000
2.106 6.332 0.000
4.219 0.000 0.000
4.219 0.000 4.221
4.219 2.104 2.109
4.219 2.104 6.333
4.219 4.219 0.000
4.219 6.334 2.109
4.219 6.334 6.333
6.332 2.106 0.000
6.332 6.332 0.000
6.340 0.000 2.120
6.340 0.000 6.322
6.334 4.219 2.109
6.334 4.219 6.333
6.345 2.094 4.221
6.345 6.345 4.221
4.219 4.219 4.221
0.000 0.000 4.221
0.000 0.000 2.078
0.000 0.000 6.364
0.000 2.113 0.000
0.000 2.149 4.221
0.000 4.219 2.110
0.000 4.219 6.332
0.000 6.290 4.221
0.000 6.326 0.000
2.113 0.000 0.000
2.111 2.111 2.115
2.111 2.111 6.327
2.112 4.219 0.000
2.109 4.219 4.221
2.111 6.328 2.115
2.111 6.328 6.327
2.149 0.000 4.221
4.219 0.000 2.110
4.219 0.000 6.332
4.219 2.112 0.000
4.219 2.109 4.221
4.219 4.219 2.098
4.219 4.219 6.344
4.219 6.326 0.000
4.219 6.330 4.221
6.290 0.000 4.221
6.326 0.000 0.000
6.328 2.111 2.115
6.328 2.111 6.327
6.326 4.219 0.000
6.330 4.219 4.221
6.328 6.328 2.115
6.328 6.328 6.327

6.
MnFeCo2, PBEsol geometry, DFT SCAN; calculated formation energy = -42 meV per atom; mass density = 9.11 g cm⁻³; magnetic moment = 0.94 μB per formula unit; space-group type = P4/mmm (123); crystal system = tetragonal
1.0
3.496 0.000 0.000
0.000 3.496 0.000
0.000 0.000 3.410
Mn Fe Co
1 1 2
Cartesian
0.000 0.000 0.000
1.748 1.748 0.000
0.000 1.748 1.705
1.748 0.000 1.705

7.
MnFeCo2, PBEsol geometry, DFT SCAN; calculated formation energy = 148 meV per atom; mass density = 9.36 g cm⁻³; magnetic moment = 5.67 μB per formula unit; space-group type = P4/mmm (123); crystal system = tetragonal
1.0
2.427 0.000 0.000
0.000 2.427 0.000
0.000 0.000 6.887
Mn Fe Co
1 1 2
Cartesian
0.000 0.000 0.000
0.000 0.000 3.444
1.214 1.214 1.677
1.214 1.214 5.210

8.
MnFeCo2, PBEsol geometry, DFT SCAN; calculated formation energy = 168 meV per atom; mass density = 9.12 g cm⁻³; magnetic moment = 6.76 μB per formula unit; space-group type = I-4m2 (119); crystal system = tetragonal
1.0
-1.729 1.729 3.480
1.729 -1.729 3.480
1.729 1.729 -3.480
Mn Fe Co
1 1 2
Cartesian
0.000 0.000 0.000
1.729 0.000 1.740
0.000 0.000 3.480
0.000 1.729 1.740

Q: What is the magnetic moment in the first record?
A: 4.38 μB per formula unit